[1]
DFT (PBE) results for crystalline MgPdSeO at its relaxed geometry.

The space group is Pca2_1 (No. 29) and the conventional cell measures 6.215, 7.893 and 5.578 Å, with angles of 90.00, 90.00 and 90.00 degrees. The asymmetric unit holds Mg at (0.088, 0.165, 0.000), Pd at (0.249, 0.612, 0.757), Se at (0.009, 0.838, 0.002) and O at (0.015, 0.603, 0.506).


[2]
DFT (PBE) results for crystalline MgPdSeO at its relaxed geometry.

The space group is P4/nmm (No. 129, origin choice 2) and the conventional cell measures 3.489, 3.489 and 11.646 Å, with angles of 90.00, 90.00 and 90.00 degrees. The asymmetric unit holds Mg at (0.250, 0.250, 0.083), Pd at (0.250, 0.750, 0.500), Se at (0.250, 0.250, 0.664) and O at (0.250, 0.250, 0.914).


[3]
DFT (PBE) results for crystalline MgPdSeO at its relaxed geometry.

The space group is P4/nmm (No. 129, origin choice 2) and the conventional cell measures 3.575, 3.575 and 10.056 Å, with angles of 90.00, 90.00 and 90.00 degrees. The asymmetric unit holds Mg at (0.250, 0.250, 0.106), Pd at (0.250, 0.250, 0.706), Se at (0.250, 0.750, 0.500) and O at (0.250, 0.250, 0.914).


[4]
DFT (PBE) results for crystalline MgPdSeO at its relaxed geometry.

The space group is Pca2_1 (No. 29) and the conventional cell measures 5.577, 8.412 and 5.473 Å, with angles of 90.00, 90.00 and 90.00 degrees. The asymmetric unit holds Mg at (0.119, 0.080, 0.000), Pd at (0.011, 0.343, 0.647), Se at (0.021, 0.636, 0.661) and O at (0.070, 0.083, 0.653).


[5]
DFT (PBE) results for crystalline MgPdSeO at its relaxed geometry.

The space group is Pbca (No. 61) and the conventional cell measures 6.129, 13.316 and 6.659 Å, with angles of 90.00, 90.00 and 90.00 degrees. The asymmetric unit holds Mg at (0.031, 0.244, 0.139), Pd at (0.245, 0.576, 0.515), Se at (0.002, 0.006, 0.251) and O at (0.206, 0.245, 0.388).


[6]
DFT (PBE) results for crystalline MgPdSeO at its relaxed geometry.

The space group is P4/nmm (No. 129, origin choice 2) and the conventional cell measures 3.973, 3.973 and 9.584 Å, with angles of 90.00, 90.00 and 90.00 degrees. The asymmetric unit holds Mg at (0.250, 0.250, 0.125), Pd at (0.250, 0.250, 0.559), Se at (0.250, 0.250, 0.850) and O at (0.250, 0.750, 0.500).


[7]
DFT (PBE) results for crystalline MgPdSeO at its relaxed geometry.

The space group is P2_12_12_1 (No. 19) and the conventional cell measures 5.692, 5.758 and 8.057 Å, with angles of 90.00, 90.00 and 90.00 degrees. The asymmetric unit holds Mg at (0.020, 0.243, 0.187), Pd at (0.010, 0.228, 0.738), Se at (0.219, 0.980, 0.957) and O at (0.230, 0.512, 0.247).


[8]
DFT (PBE) results for crystalline MgTePdO at its relaxed geometry.

The space group is P4/nmm (No. 129, origin choice 2) and the conventional cell measures 4.165, 4.165 and 9.277 Å, with angles of 90.00, 90.00 and 90.00 degrees. The asymmetric unit holds Mg at (0.250, 0.250, 0.119), Te at (0.250, 0.750, 0.500), Pd at (0.250, 0.250, 0.697) and O at (0.250, 0.250, 0.919).


[9]
DFT (PBE) results for crystalline MgTePdO at its relaxed geometry.

The space group is Aem2 (No. 39) and the conventional cell measures 8.238, 5.649 and 5.647 Å, with angles of 90.00, 90.00 and 90.00 degrees. The asymmetric unit holds Mg at (0.000, 0.000, 0.000), Te at (0.359, 0.250, 0.247), Pd at (0.320, 0.250, 0.747) and O at (0.033, 0.250, 0.750).


[10]
DFT (PBE) results for crystalline MgTePdO at its relaxed geometry.

The space group is P2_12_12_1 (No. 19) and the conventional cell measures 6.459, 6.513 and 7.240 Å, with angles of 90.00, 90.00 and 90.00 degrees. The asymmetric unit holds Mg at (0.155, 0.028, 0.440), Te at (0.214, 0.497, 0.498), Pd at (0.005, 0.259, 0.759) and O at (0.205, 0.007, 0.707).


[11]
DFT (PBE) results for crystalline MgTePdO at its relaxed geometry.

The space group is Pbca (No. 61) and the conventional cell measures 6.192, 14.436 and 6.582 Å, with angles of 90.00, 90.00 and 90.00 degrees. The asymmetric unit holds Mg at (0.061, 0.244, 0.130), Te at (0.001, 0.045, 0.754), Pd at (0.247, 0.083, 0.408) and O at (0.237, 0.244, 0.381).


[12]
DFT (PBE) results for crystalline MgTePdO at its relaxed geometry.

The space group is Cmc2_1 (No. 36) and the conventional cell measures 3.493, 13.192 and 6.271 Å, with angles of 90.00, 90.00 and 90.00 degrees. The asymmetric unit holds Mg at (0.000, 0.171, 0.000), Te at (0.000, 0.133, 0.497), Pd at (0.000, 0.500, 0.245) and O at (0.000, 0.392, 0.496).


[13]
DFT (PBE) results for crystalline MgTePdO at its relaxed geometry.

The space group is P4/nmm (No. 129, origin choice 2) and the conventional cell measures 3.821, 3.821 and 9.599 Å, with angles of 90.00, 90.00 and 90.00 degrees. The asymmetric unit holds Mg at (0.250, 0.250, 0.042), Te at (0.250, 0.250, 0.684), Pd at (0.250, 0.250, 0.408) and O at (0.250, 0.750, 0.000).


[14]
DFT (PBE) results for crystalline MgTePdO at its relaxed geometry.

The space group is C2/m (No. 12) and the conventional cell measures 5.994, 5.812 and 8.168 Å, with angles of 90.00, 90.25 and 90.00 degrees. The asymmetric unit holds Mg at (0.000, 0.250, 0.000), Te at (0.249, 0.000, 0.292), Pd at (0.247, 0.000, 0.784) and O at (0.248, 0.500, 0.478).


[15]
DFT (PBE) results for crystalline MgTePdO at its relaxed geometry.

The space group is Pbcm (No. 57) and the conventional cell measures 5.466, 6.333 and 8.662 Å, with angles of 90.00, 90.00 and 90.00 degrees. The asymmetric unit holds Mg at (0.199, 0.002, 0.250), Te at (0.499, 0.250, 0.000), Pd at (0.001, 0.750, 0.000) and O at (0.000, 0.248, 0.750).


[16]
DFT (PBE) results for crystalline MgTePdO at its relaxed geometry.

The space group is Cmc2_1 (No. 36) and the conventional cell measures 3.710, 12.979 and 6.151 Å, with angles of 90.00, 90.00 and 90.00 degrees. The asymmetric unit holds Mg at (0.000, 0.049, 0.000), Te at (0.000, 0.312, 0.260), Pd at (0.000, 0.331, 0.808) and O at (0.000, 0.063, 0.305).


[17]
DFT (PBE) results for crystalline MgTePdO at its relaxed geometry.

The space group is Pca2_1 (No. 29) and the conventional cell measures 6.905, 7.917 and 5.853 Å, with angles of 90.00, 90.00 and 90.00 degrees. The asymmetric unit holds Mg at (0.100, 0.190, 0.000), Te at (0.010, 0.832, 0.001), Pd at (0.250, 0.620, 0.252) and O at (0.048, 0.606, 0.501).


[18]
DFT (PBE) results for crystalline MgTePdO at its relaxed geometry.

The space group is P4/nmm (No. 129, origin choice 2) and the conventional cell measures 4.194, 4.194 and 8.811 Å, with angles of 90.00, 90.00 and 90.00 degrees. The asymmetric unit holds Mg at (0.250, 0.250, 0.197), Te at (0.250, 0.250, 0.852), Pd at (0.250, 0.250, 0.532) and O at (0.250, 0.750, 0.500).


Number 1: final energy -72.9 eV per cell. Number 2: final energy -36.4 eV per cell. Number 3: final energy -35.7 eV per cell. Number 4: final energy -79.9 eV per cell. Number 5: final energy -157.6 eV per cell. Number 6: final energy -34.6 eV per cell. Number 7: final energy -76.0 eV per cell. Number 8: final energy -33.4 eV per cell. Number 9: final energy -80.0 eV per cell. Number 10: final energy -74.4 eV per cell. Number 11: final energy -154.8 eV per cell. Number 12: final energy -73.6 eV per cell. Number 13: final energy -39.5 eV per cell. Number 14: final energy -65.4 eV per cell. Number 15: final energy -72.7 eV per cell. Number 16: final energy -74.0 eV per cell. Number 17: final energy -70.0 eV per cell. Number 18: final energy -32.6 eV per cell.